First-principles (PBE-GGA) data for a relaxed VRu2 crystal, as listed in Alexandria.

Lattice parameters (Å, degrees): 9.029 4.183 5.183 90.00 121.97 90.00
Sites, in units of the cell vectors:
V (0.158, 0.000, 0.098)
V (0.342, 0.500, 0.902)
V (0.658, 0.500, 0.098)
V (0.842, 0.000, 0.902)
Ru (0.037, 0.500, 0.778)
Ru (0.171, 0.000, 0.597)
Ru (0.329, 0.500, 0.403)
Ru (0.463, 0.000, 0.222)
Ru (0.537, 0.000, 0.778)
Ru (0.671, 0.500, 0.597)
Ru (0.829, 0.000, 0.403)
Ru (0.963, 0.500, 0.222)

Computed properties:
The space group is C2/m (12). The energy relative to the elements comes out at -0.099 eV/atom. For the total magnetization, the calculation gives 0.000 μB per cell.